LaPmPrY3, optimized geometry, DFT PBE; crystal system = monoclinic; total moment = 0.00 μB per formula unit; electronic total energy = -67.40 eV per cell
1.0
8.1331 0.0000 0.0000
0.0000 5.1725 0.0000
-3.2702 0.0000 9.7456
La Pm Pr Y
2 2 2 6
Cartesian
0.3890 1.2931 2.8538
4.4739 3.8794 6.8918
2.8326 3.8794 3.6564
2.0303 1.2931 6.0893
1.1988 3.8794 8.5215
3.6641 1.2931 1.2241
1.2135 3.8794 0.3988
-1.2269 1.2931 7.7089
-0.4162 3.8794 5.2864
5.2791 1.2931 4.4593
6.0898 3.8794 2.0368
3.6494 1.2931 9.3468